1.
Ce4PaGe2: optimized geometry, PBE.

## Properties
Formation enthalpy at 0 K ... -0.116 eV/atom

a = 4.455 Å, b = 4.455 Å, c = 11.067 Å
α = 78.39°, β = 78.39°, γ = 60.00°
Last column: magnetic moment on the atom in μB.
Atoms (fractional coordinates):
Ge: 0.595 0.595 0.215  -0.01
Ge: 0.405 0.405 0.785  -0.01
Ce: 0.116 0.116 0.652  0.14
Ce: 0.690 0.690 0.931  0.68
Ce: 0.310 0.310 0.069  0.68
Ce: 0.884 0.884 0.348  0.14
Pa: 0.500 0.500 0.500  0.09

***

2.
CePa2Ge: optimized geometry, PBE.

## Properties
Offset from the most stable computed form ... 316 meV per atom
Formation enthalpy at 0 K ... -0.008 eV/atom

a = 5.038 Å, b = 5.038 Å, c = 5.038 Å
α = 60.00°, β = 60.00°, γ = 60.00°
Atoms (fractional coordinates):
Ge: 0.500 0.500 0.500
Ce: 0.000 0.000 0.000
Pa: 0.750 0.750 0.750
Pa: 0.250 0.250 0.250